DFT (PBEsol) results for a relaxed structure of Tb2Mn2O7.

The structure in extended XYZ format:
```
22
Lattice="6.989 0.000 0.000 3.494 6.053 0.000 3.494 2.018 5.706" Properties=species:S:1:pos:R:3 pbc="T T T"
Tb 6.989 4.035 0.713
Tb 6.989 2.018 3.566
Tb 8.736 5.044 3.566
Tb 5.242 5.044 3.566
Mn 5.242 1.009 0.713
Mn 1.747 1.009 0.713
Mn 3.494 4.035 0.713
Mn 3.494 2.018 3.566
O 6.989 1.636 1.157
O 3.494 3.654 2.584
O 9.066 5.234 1.157
O 4.912 2.836 4.549
O 6.989 4.035 2.853
O 4.912 5.234 1.157
O 9.066 2.836 4.549
O 2.077 2.836 0.269
O 4.912 2.836 0.269
O 2.077 1.199 2.584
O 10.483 6.053 4.280
O 4.912 1.199 2.584
O 6.989 6.434 4.549
O 3.494 0.381 0.269
```

* calculated total energy: -0.6358 Ry/atom
* formation energy from raw total energies: -2.625 eV/atom
* total magnetic moment: 6.00 μB/f.u.
* symmetry: Fd-3m

=====

DFT (PBEsol) results for a relaxed structure of Rb2In2Tc.

The structure in extended XYZ format:
```
5
Lattice="4.093 0.000 0.000 0.000 4.093 0.000 -2.047 -2.047 11.286" Properties=species:S:1:pos:R:3 pbc="T T T"
Tc 0.000 0.000 0.000
Rb 0.000 0.000 9.035
Rb 2.047 2.047 2.251
In 0.000 2.047 5.643
In 2.047 0.000 5.643
```

* calculated total energy: -0.2022 Ry/atom
* ΔE_f: 1.106 eV/atom
* total magnetic moment: 3.80 μB/f.u.
* symmetry: I4/mmm